VASP calculation (PBE) on an optimized crystal structure of Dy2ErCo3Ni6.

Calculated values
Total magnetic moment in Bohr magnetons per cell: 4.50
Energy relative to the elements in eV per atom: -0.3110

Cell: 8.5983 8.5983 8.5983 Å, 33.19 33.19 33.19°
Closest atoms and distances in Å follow each position.
Element x y z (fractional)
Ni1 0.5806 0.5806 0.0828  3 Co 2.43-2.51, 4 Ni 2.45-2.47
Ni2 0.0828 0.5806 0.5806  3 Co 2.43-2.51, 4 Ni 2.45-2.47
Ni3 0.4194 0.4194 0.9172  3 Co 2.43-2.51, 4 Ni 2.45-2.47
Co1 0.5000 0.5000 0.5000  6 Ni 2.51
Ni4 0.4194 0.9172 0.4194  3 Co 2.43-2.51, 4 Ni 2.45-2.47
Dy1 0.8609 0.8609 0.8609  9 Ni 2.83-3.10, 3 Co 2.91, 3 Dy 3.14
Co2 0.3328 0.3328 0.3328  6 Ni 2.43-2.44
Ni5 0.9172 0.4194 0.4194  3 Co 2.43-2.51, 4 Ni 2.45-2.47
Er1 0.0000 0.0000 0.0000  6 Co 2.84, 12 Ni 3.16
Co3 0.6672 0.6672 0.6672  6 Ni 2.43-2.44
Dy2 0.1391 0.1391 0.1391  9 Ni 2.83-3.10, 3 Co 2.91, 3 Dy 3.14
Ni6 0.5806 0.0828 0.5806  3 Co 2.43-2.51, 4 Ni 2.45-2.47